{"formula": "SrAlCd", "functional": "PBE-GGA", "state": "optimized geometry", "cell": [[5.741, -2.456, 0.000], [5.741, 2.456, 0.000], [-5.455, 0.000, 5.834]], "species": ["Sr", "Sr", "Al", "Al", "Cd", "Cd"], "frac_coords": [[0.045, 0.045, 0.300], [0.955, 0.955, 0.700], [0.346, 0.346, 0.898], [0.654, 0.654, 0.102], [0.326, 0.326, 0.264], [0.674, 0.674, 0.736]], "dos_at_fermi_per_ev_cell": 3.46, "e_form_mev_per_atom": -288, "crystal_system": "monoclinic", "sg": "C2/m", "total_magnetization_mub_per_fu": 0.00}